The following is a DFT calculation (PBE) of an optimized crystal structure of CdCo2Sn.

Calculated values
The value obtained for the calculated density is 9154 kg/m³.

Lattice parameters (Å, degrees): 6.3266 6.3266 6.3266 90.00 90.00 90.00
Space group F-43m (No. 216)
Asymmetric unit:
1 Cd 0.0000 0.0000 0.0000 x4
2 Co 0.0000 0.0000 0.5000 x4
3 Co 0.2500 0.2500 0.2500 x4
4 Sn 0.2500 0.2500 0.7500 x4

---

The following is a DFT calculation (PBE) of an optimized crystal structure of CdCoSn2.

Calculated values
The value obtained for the calculated density is 8134 kg/m³.

Lattice parameters (Å, degrees): 6.9368 6.9368 6.9368 90.00 90.00 90.00
Space group F-43m (No. 216)
Asymmetric unit:
1 Cd 0.0000 0.0000 0.0000 x4
2 Co 0.2500 0.2500 0.7500 x4
3 Sn 0.0000 0.0000 0.5000 x4
4 Sn 0.2500 0.2500 0.2500 x4

---

The following is a DFT calculation (PBE) of an optimized crystal structure of CdCoSnTe3.

Calculated values
The value obtained for the energy above the most stable polymorph in this dataset is 0.0 meV/atom. The value obtained for the calculated density is 6635 kg/m³.

Lattice parameters (Å, degrees): 3.8948 16.5571 10.4460 90.00 90.00 90.00
Space group Cmcm (No. 63)
Asymmetric unit:
1 Cd 0.0000 0.1983 0.2500 x4
2 Co 0.0000 0.5000 0.0000 x4
3 Sn 0.0000 0.1667 0.7500 x4
4 Te 0.0000 0.1008 0.0233 x8
5 Te 0.0000 0.4690 0.2500 x4

---

The following is a DFT calculation (PBE) of an optimized crystal structure of CdCoSnTe3.

Calculated values
The value obtained for the energy above the most stable polymorph in this dataset is 62.7 meV/atom. The value obtained for the calculated density is 6874 kg/m³.

Lattice parameters (Å, degrees): 4.0589 13.5710 11.8033 90.00 90.00 90.00
Space group Cmcm (No. 63)
Asymmetric unit:
1 Cd 0.0000 0.0000 0.0000 x4
2 Co 0.0000 0.4402 0.2500 x4
3 Sn 0.0000 0.2148 0.7500 x4
4 Te 0.0000 0.0515 0.2500 x4
5 Te 0.0000 0.3493 0.0608 x8

---

The following is a DFT calculation (PBE) of an optimized crystal structure of CdCoSnW.

Calculated values
The value obtained for the energy above the most stable polymorph in this dataset is 0.0 meV/atom. The value obtained for the calculated density is 11585 kg/m³.

Lattice parameters (Å, degrees): 6.4768 6.4768 6.4768 90.00 90.00 90.00
Space group F-43m (No. 216)
Asymmetric unit:
1 Cd 0.0000 0.0000 0.0000 x4
2 Co 0.2500 0.2500 0.7500 x4
3 Sn 0.0000 0.0000 0.5000 x4
4 W 0.2500 0.2500 0.2500 x4

---

The following is a DFT calculation (PBE) of an optimized crystal structure of ZrCdCoSn.

Calculated values
The value obtained for the energy above the most stable polymorph in this dataset is 0.0 meV/atom. The value obtained for the calculated density is 8585 kg/m³.

Lattice parameters (Å, degrees): 6.6568 6.6568 6.6568 90.00 90.00 90.00
Space group F-43m (No. 216)
Asymmetric unit:
1 Zr 0.0000 0.0000 0.0000 x4
2 Cd 0.2500 0.2500 0.2500 x4
3 Co 0.2500 0.2500 0.7500 x4
4 Sn 0.0000 0.0000 0.5000 x4

---

The following is a DFT calculation (PBE) of an optimized crystal structure of ZrCdCoSn.

Calculated values
The value obtained for the energy above the most stable polymorph in this dataset is 46.7 meV/atom. The value obtained for the calculated density is 8466 kg/m³.

Lattice parameters (Å, degrees): 6.6880 6.6880 6.6880 90.00 90.00 90.00
Space group F-43m (No. 216)
Asymmetric unit:
1 Zr 0.0000 0.0000 0.0000 x4
2 Cd 0.2500 0.2500 0.7500 x4
3 Co 0.0000 0.0000 0.5000 x4
4 Sn 0.2500 0.2500 0.2500 x4

---

The following is a DFT calculation (PBE) of an optimized crystal structure of SrCd2Co.

Calculated values
The value obtained for the calculated density is 7065 kg/m³.

Lattice parameters (Å, degrees): 7.0416 7.0416 7.0416 90.00 90.00 90.00
Space group F-43m (No. 216)
Asymmetric unit:
1 Sr 0.0000 0.0000 0.0000 x4
2 Cd 0.0000 0.0000 0.5000 x4
3 Cd 0.2500 0.2500 0.7500 x4
4 Co 0.2500 0.2500 0.2500 x4

---

The following is a DFT calculation (PBE) of an optimized crystal structure of TaCdCo2.

Calculated values
The calculation puts the energy relative to the elements at 1.8 eV/f.u. The value obtained for the calculated density is 11484 kg/m³.

Lattice parameters (Å, degrees): 6.1958 6.1958 6.1958 90.00 90.00 90.00
Space group F-43m (No. 216)
Asymmetric unit:
1 Ta 0.0000 0.0000 0.0000 x4
2 Cd 0.2500 0.2500 0.2500 x4
3 Co 0.0000 0.0000 0.5000 x4
4 Co 0.2500 0.2500 0.7500 x4

---

The following is a DFT calculation (PBE) of an optimized crystal structure of TaTlCdCo.

Calculated values
The value obtained for the energy above the most stable polymorph in this dataset is 0.0 meV/atom. The value obtained for the calculated density is 13063 kg/m³.

Lattice parameters (Å, degrees): 6.5658 6.5658 6.5658 90.00 90.00 90.00
Space group F-43m (No. 216)
Asymmetric unit:
1 Ta 0.0000 0.0000 0.0000 x4
2 Tl 0.0000 0.0000 0.5000 x4
3 Cd 0.2500 0.2500 0.2500 x4
4 Co 0.2500 0.2500 0.7500 x4

---

The following is a DFT calculation (PBE) of an optimized crystal structure of TaTlCdCo.

Calculated values
The value obtained for the energy above the most stable polymorph in this dataset is 89.9 meV/atom. The value obtained for the calculated density is 12855 kg/m³.

Lattice parameters (Å, degrees): 6.6010 6.6010 6.6010 90.00 90.00 90.00
Space group F-43m (No. 216)
Asymmetric unit:
1 Ta 0.0000 0.0000 0.0000 x4
2 Tl 0.2500 0.2500 0.2500 x4
3 Cd 0.2500 0.2500 0.7500 x4
4 Co 0.0000 0.0000 0.5000 x4

---

The following is a DFT calculation (PBE) of an optimized crystal structure of TaZnCdCo.

Calculated values
The calculation puts the energy relative to the elements at 1.1 eV/f.u. The value obtained for the energy above the most stable polymorph in this dataset is 0.0 meV/atom. The value obtained for the calculated density is 11237 kg/m³.

Lattice parameters (Å, degrees): 6.2735 6.2735 6.2735 90.00 90.00 90.00
Space group F-43m (No. 216)
Asymmetric unit:
1 Ta 0.0000 0.0000 0.0000 x4
2 Zn 0.0000 0.0000 0.5000 x4
3 Cd 0.2500 0.2500 0.2500 x4
4 Co 0.2500 0.2500 0.7500 x4

---

The following is a DFT calculation (PBE) of an optimized crystal structure of TaZnCdCo.

Calculated values
The calculation puts the energy relative to the elements at 1.8 eV/f.u. The value obtained for the energy above the most stable polymorph in this dataset is 177.9 meV/atom. The value obtained for the calculated density is 11244 kg/m³.

Lattice parameters (Å, degrees): 6.2722 6.2722 6.2722 90.00 90.00 90.00
Space group F-43m (No. 216)
Asymmetric unit:
1 Ta 0.0000 0.0000 0.0000 x4
2 Zn 0.2500 0.2500 0.2500 x4
3 Cd 0.2500 0.2500 0.7500 x4
4 Co 0.0000 0.0000 0.5000 x4

---

The following is a DFT calculation (PBE) of an optimized crystal structure of TlCdCoTc.

Calculated values
The value obtained for the energy above the most stable polymorph in this dataset is 0.0 meV/atom. The value obtained for the calculated density is 11600 kg/m³.

Lattice parameters (Å, degrees): 6.4733 6.4733 6.4733 90.00 90.00 90.00
Space group F-43m (No. 216)
Asymmetric unit:
1 Tl 0.0000 0.0000 0.0000 x4
2 Cd 0.0000 0.0000 0.5000 x4
3 Co 0.2500 0.2500 0.2500 x4
4 Tc 0.2500 0.2500 0.7500 x4

---

The following is a DFT calculation (PBE) of an optimized crystal structure of CdCoTe.

Calculated values
The value obtained for the energy above the most stable polymorph in this dataset is 0.0 meV/atom. The value obtained for the calculated density is 8305 kg/m³.

Lattice parameters (Å, degrees): 6.2066 6.2066 6.2066 90.00 90.00 90.00
Space group F-43m (No. 216)
Asymmetric unit:
1 Cd 0.0000 0.0000 0.0000 x4
2 Co 0.2500 0.2500 0.2500 x4
3 Te 0.0000 0.0000 0.5000 x4

---

The following is a DFT calculation (PBE) of an optimized crystal structure of TlZnCdCo.

Calculated values
The value obtained for the energy above the most stable polymorph in this dataset is 0.0 meV/atom. The value obtained for the calculated density is 10436 kg/m³.

Lattice parameters (Å, degrees): 6.5482 6.5482 6.5482 90.00 90.00 90.00
Space group F-43m (No. 216)
Asymmetric unit:
1 Tl 0.0000 0.0000 0.0000 x4
2 Zn 0.2500 0.2500 0.7500 x4
3 Cd 0.0000 0.0000 0.5000 x4
4 Co 0.2500 0.2500 0.2500 x4

---

The following is a DFT calculation (PBE) of an optimized crystal structure of TmCdCo.

Calculated values
The calculation puts the energy relative to the elements at 1.8 eV/f.u. The value obtained for the calculated density is 8105 kg/m³.

Lattice parameters (Å, degrees): 6.5332 6.5332 6.5332 90.00 90.00 90.00
Space group F-43m (No. 216)
Asymmetric unit:
1 Tm 0.0000 0.0000 0.0000 x4
2 Cd 0.2500 0.2500 0.7500 x4
3 Co 0.2500 0.2500 0.2500 x4

---

The following is a DFT calculation (PBE) of an optimized crystal structure of YCd2Co.

Calculated values
The calculation puts the energy relative to the elements at 0.0 eV/f.u. The value obtained for the calculated density is 7777 kg/m³.

Lattice parameters (Å, degrees): 6.8276 6.8276 6.8276 90.00 90.00 90.00
Space group F-43m (No. 216)
Asymmetric unit:
1 Y 0.0000 0.0000 0.0000 x4
2 Cd 0.0000 0.0000 0.5000 x4
3 Cd 0.2500 0.2500 0.2500 x4
4 Co 0.2500 0.2500 0.7500 x4

---

The following is a DFT calculation (PBE) of an optimized crystal structure of YZnCdCo.

Calculated values
The calculation puts the energy relative to the elements at 0.1 eV/f.u. The value obtained for the energy above the most stable polymorph in this dataset is 0.0 meV/atom. The value obtained for the calculated density is 7267 kg/m³.

Lattice parameters (Å, degrees): 6.6770 6.6770 6.6770 90.00 90.00 90.00
Space group F-43m (No. 216)
Asymmetric unit:
1 Y 0.0000 0.0000 0.0000 x4
2 Zn 0.0000 0.0000 0.5000 x4
3 Cd 0.2500 0.2500 0.2500 x4
4 Co 0.2500 0.2500 0.7500 x4

---

The following is a DFT calculation (PBE) of an optimized crystal structure of YZnCdCo.

Calculated values
The calculation puts the energy relative to the elements at 0.1 eV/f.u. The value obtained for the energy above the most stable polymorph in this dataset is 6.9 meV/atom. The value obtained for the calculated density is 7214 kg/m³.

Lattice parameters (Å, degrees): 6.6930 6.6930 6.6930 90.00 90.00 90.00
Space group F-43m (No. 216)
Asymmetric unit:
1 Y 0.0000 0.0000 0.0000 x4
2 Zn 0.2500 0.2500 0.2500 x4
3 Cd 0.2500 0.2500 0.7500 x4
4 Co 0.0000 0.0000 0.5000 x4

---

The following is a DFT calculation (PBE) of an optimized crystal structure of ZrCdCo2.

Calculated values
The calculation puts the energy relative to the elements at 1.0 eV/f.u. The value obtained for the calculated density is 8360 kg/m³.

Lattice parameters (Å, degrees): 6.3448 6.3448 6.3448 90.00 90.00 90.00
Space group F-43m (No. 216)
Asymmetric unit:
1 Zr 0.0000 0.0000 0.0000 x4
2 Cd 0.2500 0.2500 0.2500 x4
3 Co 0.0000 0.0000 0.5000 x4
4 Co 0.2500 0.2500 0.7500 x4

---

The following is a DFT calculation (PBE) of an optimized crystal structure of Cs5Cd4.

Calculated values
The value obtained for the calculated density is 3969 kg/m³.

Lattice parameters (Å, degrees): 13.6199 5.9096 12.6045 90.00 113.22 90.00
Space group C2/m (No. 12)
Asymmetric unit:
1 Cs 0.0000 0.0000 0.0000 x2
2 Cs 0.1144 0.0000 0.4016 x4
3 Cs 0.2477 0.5000 0.1714 x4
4 Cd 0.0517 0.5000 0.8209 x4
5 Cd 0.0949 0.5000 0.6114 x4

---

The following is a DFT calculation (PBE) of an optimized crystal structure of Cs3Cd.

Calculated values
The value obtained for the calculated density is 2615 kg/m³.

Lattice parameters (Å, degrees): 9.1816 9.1816 8.8913 90.00 90.00 120.00
Space group P6_3/mcm (No. 193)
Asymmetric unit:
1 Cs 0.0000 0.3521 0.2500 x6
2 Cd 0.0000 0.0000 0.0000 x2

---

The following is a DFT calculation (PBE) of an optimized crystal structure of CsCd8.

Calculated values
The value obtained for the calculated density is 5999 kg/m³.

Lattice parameters (Å, degrees): 10.0649 10.0649 3.2566 90.00 90.00 120.00
Space group P6/mmm (No. 191)
Asymmetric unit:
1 Cs 0.0000 0.0000 0.0000 x1
2 Cd 0.1761 0.3522 0.5000 x6
3 Cd 0.3333 0.6667 0.5000 x2

---

The following is a DFT calculation (PBE) of an optimized crystal structure of CsCdCu.

Calculated values
The value obtained for the energy above the most stable polymorph in this dataset is 98.2 meV/atom. The value obtained for the calculated density is 4042 kg/m³.

Lattice parameters (Å, degrees): 7.9769 7.9769 7.9769 90.00 90.00 90.00
Space group F-43m (No. 216)
Asymmetric unit:
1 Cs 0.0000 0.0000 0.0000 x4
2 Cd 0.2500 0.2500 0.2500 x4
3 Cu 0.0000 0.0000 0.5000 x4

---

The following is a DFT calculation (PBE) of an optimized crystal structure of CsCdCu.

Calculated values
The value obtained for the energy above the most stable polymorph in this dataset is 0.0 meV/atom. The value obtained for the calculated density is 4543 kg/m³.

Lattice parameters (Å, degrees): 7.6720 7.6720 7.6720 90.00 90.00 90.00
Space group F-43m (No. 216)
Asymmetric unit:
1 Cs 0.0000 0.0000 0.0000 x4
2 Cd 0.0000 0.0000 0.5000 x4
3 Cu 0.2500 0.2500 0.7500 x4

---

The following is a DFT calculation (PBE) of an optimized crystal structure of CsDyCdS3.

Calculated values
The value obtained for the calculated density is 4579 kg/m³.

Lattice parameters (Å, degrees): 9.0660 4.1670 10.3708 90.00 111.09 90.00
Space group P2_1/m (No. 11)
Asymmetric unit:
1 Cs 0.2342 0.2500 0.2497 x2
2 Dy 0.3282 0.7500 0.8699 x2
3 Cd 0.0849 0.2500 0.6155 x2
4 S 0.1199 0.2500 0.8651 x2
5 S 0.2167 0.7500 0.5584 x2
6 S 0.4779 0.7500 0.1422 x2

---

The following is a DFT calculation (PBE) of an optimized crystal structure of CsDyCdS3.

Calculated values
The value obtained for the calculated density is 5165 kg/m³.

Lattice parameters (Å, degrees): 17.3098 4.1494 9.2224 90.00 101.91 90.00
Space group C2/m (No. 12)
Asymmetric unit:
1 Cs 0.1533 0.0000 0.0568 x4
2 Dy 0.1662 0.0000 0.5708 x4
3 Cd 0.0008 0.5000 0.7195 x4
4 S 0.0000 0.0000 0.5000 x2
5 S 0.0000 0.5000 0.0000 x2
6 S 0.1546 0.5000 0.7539 x4
7 S 0.1694 0.5000 0.3701 x4

---

Number 1: final energy -4.3230 eV per atom. Number 2: final energy -3.5171 eV per atom. Number 3: final energy -3.6869 eV per atom. Number 4: final energy -3.6242 eV per atom. Number 5: final energy -5.5277 eV per atom. Number 6: final energy -5.0982 eV per atom. Number 7: final energy -5.0514 eV per atom. Number 8: final energy -2.3727 eV per atom. Number 9: final energy -6.2793 eV per atom. Number 10: final energy -4.9165 eV per atom. Number 11: final energy -4.8266 eV per atom. Number 12: final energy -5.0128 eV per atom. Number 13: final energy -4.8349 eV per atom. Number 14: final energy -4.5005 eV per atom. Number 15: final energy -3.6314 eV per atom. Number 16: final energy -2.4811 eV per atom. Number 17: final energy -3.5504 eV per atom. Number 18: final energy -3.8382 eV per atom. Number 19: final energy -3.9046 eV per atom. Number 20: final energy -3.8977 eV per atom. Number 21: final energy -5.6687 eV per atom. Number 22: final energy -0.8930 eV per atom. Number 23: final energy -0.8571 eV per atom. Number 24: final energy -0.6018 eV per atom. Number 25: final energy -1.3506 eV per atom. Number 26: final energy -1.4488 eV per atom. Number 27: final energy -4.5390 eV per atom. Number 28: final energy -4.4507 eV per atom.